Entry 1:
Computed, not measured: a geometry-optimized Ho2Mn2GaRh5 structure at the GGA-PBE level of DFT.

```
data_Ho2Mn2GaRh5
_symmetry_space_group_name_H-M 'P 1'
_symmetry_Int_Tables_number 1
_cell_length_a 3.641
_cell_length_b 9.547
_cell_length_c 9.547
_cell_angle_alpha 90.00
_cell_angle_beta 90.00
_cell_angle_gamma 90.00
loop_
_symmetry_equiv_pos_as_xyz
'x,y,z'
loop_
_atom_site_label
_atom_site_fract_x
_atom_site_fract_y
_atom_site_fract_z
Rh1 0.500 0.202 0.065
Rh2 0.500 0.702 0.435
Rh3 0.500 0.435 0.298
Rh4 0.500 0.000 0.500
Rh5 0.500 0.935 0.202
Rh6 0.500 0.298 0.565
Rh7 0.500 0.500 0.000
Rh8 0.500 0.565 0.702
Rh9 0.500 0.065 0.798
Rh10 0.500 0.798 0.935
Ga1 0.000 0.500 0.500
Ga2 0.000 0.000 0.000
Mn1 0.000 0.124 0.624
Mn2 0.000 0.376 0.124
Mn3 0.000 0.876 0.376
Mn4 0.000 0.624 0.876
Ho1 0.000 0.676 0.176
Ho2 0.000 0.176 0.324
Ho3 0.000 0.324 0.824
Ho4 0.000 0.824 0.676
```

Values from the calculation:
calculated total energy: -0.530 Ry/atom
V: 16.6 A^3/atom
SG: P4/mbm (127)


Entry 2:
Computed, not measured: a geometry-optimized Er2TeI structure at the GGA-PBE level of DFT.

```
data_Er2TeI
_symmetry_space_group_name_H-M 'P 1'
_symmetry_Int_Tables_number 1
_cell_length_a 4.008
_cell_length_b 4.008
_cell_length_c 8.908
_cell_angle_alpha 77.00
_cell_angle_beta 77.00
_cell_angle_gamma 60.00
loop_
_symmetry_equiv_pos_as_xyz
'x,y,z'
loop_
_atom_site_label
_atom_site_fract_x
_atom_site_fract_y
_atom_site_fract_z
I1 0.500 0.500 0.500
Te1 0.000 0.000 0.000
Er1 0.261 0.261 0.217
Er2 0.739 0.739 0.783
```

Values from the calculation:
calculated total energy: -0.313 Ry/atom
V: 29.9 A^3/atom
SG: R-3m (166)


Entry 3:
Computed, not measured: a geometry-optimized Tb3IrRh8 structure at the GGA-PBE level of DFT.

```
data_Tb3IrRh8
_symmetry_space_group_name_H-M 'P 1'
_symmetry_Int_Tables_number 1
_cell_length_a 5.285
_cell_length_b 5.285
_cell_length_c 9.195
_cell_angle_alpha 73.30
_cell_angle_beta 73.30
_cell_angle_gamma 60.00
loop_
_symmetry_equiv_pos_as_xyz
'x,y,z'
loop_
_atom_site_label
_atom_site_fract_x
_atom_site_fract_y
_atom_site_fract_z
Rh1 0.562 0.562 0.815
Rh2 0.809 0.809 0.572
Rh3 0.058 0.561 0.322
Rh4 0.562 0.062 0.815
Rh5 0.058 0.058 0.322
Rh6 0.561 0.058 0.322
Rh7 0.311 0.311 0.068
Rh8 0.062 0.562 0.815
Tb1 0.012 0.012 0.964
Tb2 0.492 0.492 0.524
Tb3 0.623 0.623 0.130
Ir1 0.140 0.140 0.580
```

Values from the calculation:
calculated total energy: -0.533 Ry/atom
V: 17.5 A^3/atom
SG: R3m (160)


Entry 4:
Computed, not measured: a geometry-optimized KSc2NbPd structure at the GGA-PBE level of DFT.

```
data_KSc2NbPd
_symmetry_space_group_name_H-M 'P 1'
_symmetry_Int_Tables_number 1
_cell_length_a 5.247
_cell_length_b 5.111
_cell_length_c 5.247
_cell_angle_alpha 90.00
_cell_angle_beta 90.00
_cell_angle_gamma 90.00
loop_
_symmetry_equiv_pos_as_xyz
'x,y,z'
loop_
_atom_site_label
_atom_site_fract_x
_atom_site_fract_y
_atom_site_fract_z
Pd1 0.000 0.000 0.000
Sc1 0.500 0.000 0.000
Sc2 0.000 0.000 0.500
K1 0.500 0.500 0.500
Nb1 0.000 0.500 0.000
```

Values from the calculation:
calculated total energy: -0.387 Ry/atom
V: 28.1 A^3/atom
SG: P4/mmm (123)


Which of these has the highest V?
Er2TeI